(1)
Entry from Alexandria via LeMat-Bulk: a relaxed structure of NaNp2O7 (GGA-PBE).

Cell: 3.8240 3.8240 30.4841 Å, 90.00 90.00 120.00°
Space group R-3m (No. 166, hexagonal axes)
One atom of each set of equivalent atoms:
1 Na 0.0000 0.0000 0.0000 [3 per cell]
2 Np 0.0000 0.0000 0.4329 [6 per cell]
3 O 0.0000 0.0000 0.0849 [6 per cell]
4 O 0.0000 0.0000 0.2187 [6 per cell]
5 O 0.0000 0.0000 0.3710 [6 per cell]
6 O 0.0000 0.0000 0.5000 [3 per cell]

=====

(2)
Entry from Alexandria via LeMat-Bulk: a relaxed structure of Na3NpO10 (GGA-PBE).

## Properties
* distance to the lowest polymorph of the same formula: 0 meV/atom

Cell: 5.673 5.788 7.245 Å, 71.17 89.90 85.09°
Space group P-1 (No. 2)
One atom of each set of equivalent atoms:
1 Na 0.000 0.000 0.000 [1 per cell]
2 Na 0.004 0.310 0.297 [2 per cell]
3 Np 0.500 0.500 0.000 [1 per cell]
4 O 0.112 0.844 0.365 [2 per cell]
5 O 0.232 0.325 0.996 [2 per cell]
6 O 0.314 0.791 0.865 [2 per cell]
7 O 0.331 0.763 0.328 [2 per cell]
8 O 0.337 0.533 0.304 [2 per cell]

=====

(3)
Entry from Alexandria via LeMat-Bulk: a relaxed structure of Na2NpOsO5 (GGA-PBE).

Cell: 6.302 6.302 5.628 Å, 90.00 90.00 90.00°
Space group P4/mbm (No. 127)
One atom of each set of equivalent atoms:
1 Na 0.164 0.336 0.000 [4 per cell]
2 Np 0.000 0.000 0.500 [2 per cell]
3 Os 0.000 0.500 0.500 [2 per cell]
4 O 0.000 0.000 0.000 [2 per cell]
5 O 0.158 0.658 0.280 [8 per cell]

=====

(4)
Entry from Alexandria via LeMat-Bulk: a relaxed structure of NaNpPO6 (GGA-PBE).

Cell: 5.1429 5.1429 5.1497 Å, 90.00 90.00 120.00°
Space group P312 (No. 149)
One atom of each set of equivalent atoms:
1 Na 0.0000 0.0000 0.0000 [1 per cell]
2 Np 0.3333 0.6667 0.5000 [1 per cell]
3 P 0.6667 0.3333 0.5000 [1 per cell]
4 O 0.3951 0.0517 0.6926 [6 per cell]

=====

(5)
Entry from Alexandria via LeMat-Bulk: a relaxed structure of NaNpPO5 (GGA-PBE).

Cell: 7.334 9.091 7.817 Å, 90.00 113.94 90.00°
Space group C2/c (No. 15)
One atom of each set of equivalent atoms:
1 Na 0.000 0.164 0.250 [4 per cell]
2 Np 0.000 0.500 0.000 [4 per cell]
3 P 0.000 0.168 0.750 [4 per cell]
4 O 0.000 0.416 0.250 [4 per cell]
5 O 0.082 0.267 0.634 [8 per cell]
6 O 0.167 0.065 0.883 [8 per cell]

=====

(6)
Entry from Alexandria via LeMat-Bulk: a relaxed structure of NaNpP2O8 (GGA-PBE).

Cell: 8.896 5.994 6.021 Å, 90.00 107.72 90.00°
Space group C2/m (No. 12)
One atom of each set of equivalent atoms:
1 Na 0.000 0.000 0.000 [2 per cell]
2 Np 0.000 0.500 0.500 [2 per cell]
3 P 0.202 0.000 0.651 [4 per cell]
4 O 0.117 0.205 0.720 [8 per cell]
5 O 0.117 0.500 0.216 [4 per cell]
6 O 0.201 0.000 0.396 [4 per cell]

=====

Number 1: formation energy from raw total energies -2343 kJ/mol of formula units, calculated total energy -8.62 eV/atom. Number 2: formation energy from raw total energies -1782 kJ/mol of formula units, calculated total energy -6.07 eV/atom. Number 3: formation energy from raw total energies -1181 kJ/mol of formula units, calculated total energy -7.09 eV/atom. Number 4: formation energy from raw total energies -1874 kJ/mol of formula units, calculated total energy -7.65 eV/atom. Number 5: formation energy from raw total energies -1966 kJ/mol of formula units, calculated total energy -8.10 eV/atom. Number 6: formation energy from raw total energies -2702 kJ/mol of formula units, calculated total energy -7.73 eV/atom.